#a
4
Lattice="4.6095 0.0000 0.0000 2.3048 3.9920 0.0000 2.3048 1.3307 3.7637" Properties=species:S:1:pos:R:3 comment="PBE PuUMnIr, relaxed" space_group="F-43m, No. 216" m_tot_mub_per_cell=2.37 pbc="T T T"
Mn 6.9143 3.9920 2.8228
Pu 4.6095 2.6613 1.8818
U 2.3048 1.3307 0.9409
Ir 0.0000 0.0000 0.0000

=====

#b
4
Lattice="-1.0430 -4.3773 1.6410 0.8969 -3.8488 -2.7063 3.5263 -3.0079 1.2079" Properties=species:S:1:pos:R:3 comment="PBE PuUMnIr, relaxed" space_group="F-43m, No. 216" m_tot_mub_per_cell=5.04 pbc="T T T"
Mn 0.0000 0.0000 0.0000
Pu 2.5352 -8.4254 0.1070
Ir 1.6901 -5.6170 0.0713
U 0.8451 -2.8085 0.0357

=====

Stability check: which of them is most stable? #a.

=====

#a
4
Lattice="-1.0909 -4.0999 3.8084 -2.7344 1.2607 4.8412 -5.3514 -1.7951 0.8018" Properties=species:S:1:pos:R:3 comment="PBE Rb2MnIr, relaxed" space_group="Fm-3m, No. 225" m_tot_mub_per_cell=5.96 pbc="T T T"
Ir -4.5884 -2.3171 4.7257
Rb -6.8825 -3.4757 7.0886
Rb -2.2942 -1.1586 2.3629
Mn 0.0000 0.0000 0.0000

=====

#b
8
Lattice="-4.0937 -0.0529 -12.4572 -11.5159 -4.9845 3.8055 -8.6248 -0.4251 -4.0652" Properties=species:S:1:pos:R:3 comment="PBE Rb2MnIr, relaxed" space_group="I-42d, No. 122" m_tot_mub_per_cell=8.30 pbc="T T T"
Ir 0.0000 0.0000 0.0000
Ir -10.2616 -1.4983 -10.4241
Rb -5.3261 -0.7517 -5.8062
Rb -10.6935 -3.2389 -2.7152
Rb -17.7972 -3.7181 -11.3890
Rb -14.6520 -3.2162 -5.5234
Mn -13.9727 -3.9641 -2.2928
Mn -7.8048 -2.5187 -4.3258

=====

Stability check: which of them is most stable? #b.